The following is a DFT calculation (PBE) of a geometry-optimized PrDyMgRu structure.

a b c (Å): 7.2447 7.2447 7.2447
angles (deg): 90.00 90.00 90.00
Space group F-43m (No. 216)
Inequivalent atoms, fractional coordinates:
Pr (0.0000, 0.0000, 0.0000) [4 per cell]
Dy (0.0000, 0.0000, 0.5000) [4 per cell]
Mg (0.2500, 0.2500, 0.2500) [4 per cell]
Ru (0.2500, 0.2500, 0.7500) [4 per cell]

---

The following is a DFT calculation (PBE) of a geometry-optimized MoRuRh2 structure.

a b c (Å): 9.0558 2.7212 4.7710
angles (deg): 90.00 99.65 90.00
Space group Cm (No. 8)
Inequivalent atoms, fractional coordinates:
Mo (0.0000, 0.0000, 0.0000) [2 per cell]
Ru (0.2508, 0.5000, 0.2579) [2 per cell]
Rh (0.2524, 0.0000, 0.7567) [2 per cell]
Rh (0.4972, 0.0000, 0.4940) [2 per cell]

---

Offset from the most stable computed form, record by record: 0.0875, 0.1579 eV per atom